<P>
Here is a relaxed structure of Ca6MgCd from the Alexandria database. Energies are from PBE.

## Properties
Calculated volume   311.80 Å³/cell

abc: 7.416 7.416 7.391
angles: 103.31 103.31 120.16
Fractional coordinates of all 8 atoms:
Ca 0.040 0.443 0.249
Ca 0.244 0.244 0.756
Ca 0.443 0.040 0.249
Ca 0.557 0.960 0.751
Ca 0.756 0.756 0.244
Ca 0.960 0.557 0.751
Mg 0.500 0.500 0.500
Cd 0.000 0.000 0.000



<Q>
Here is a relaxed structure of Ca6MgCd from the Alexandria database. Energies are from PBE.

## Properties
Calculated volume   287.24 Å³/cell

abc: 10.280 10.280 10.280
angles: 149.00 149.00 44.41
Fractional coordinates of all 8 atoms:
Ca 0.102 0.602 0.500
Ca 0.249 0.249 0.000
Ca 0.398 0.898 0.500
Ca 0.602 0.102 0.500
Ca 0.751 0.751 0.000
Ca 0.898 0.398 0.500
Mg 0.000 0.000 0.000
Cd 0.500 0.500 0.000



<Q> comes first in stability; the runner-up is 157 meV/atom higher.



<P>
Here is a relaxed structure of Ca3Mg4Cd4 from the Alexandria database. Energies are from PBE.

## Properties
Calculated volume   287.19 Å³/cell

abc: 3.601 4.999 16.240
angles: 81.18 83.87 89.91
Fractional coordinates of all 11 atoms:
Ca 0.000 0.000 0.000
Ca 0.143 0.642 0.716
Ca 0.857 0.358 0.284
Mg 0.261 0.262 0.476
Mg 0.404 0.907 0.187
Mg 0.596 0.093 0.813
Mg 0.739 0.738 0.524
Cd 0.315 0.816 0.369
Cd 0.454 0.454 0.094
Cd 0.546 0.546 0.906
Cd 0.685 0.184 0.631



<Q>
Here is a relaxed structure of Ca3Mg4Cd4 from the Alexandria database. Energies are from PBE.

## Properties
Calculated volume   317.29 Å³/cell

abc: 7.442 7.442 7.442
angles: 109.47 109.47 109.47
Fractional coordinates of all 11 atoms:
Ca 0.000 0.500 0.500
Ca 0.500 0.000 0.500
Ca 0.500 0.500 0.000
Mg 0.000 0.000 0.748
Mg 0.000 0.748 0.000
Mg 0.252 0.252 0.252
Mg 0.748 0.000 0.000
Cd 0.000 0.000 0.391
Cd 0.000 0.391 0.000
Cd 0.391 0.000 0.000
Cd 0.609 0.609 0.609



<P> comes first in stability; the runner-up is 136 meV/atom higher.



<P>
Here is a relaxed structure of CaMg14Cd from the Alexandria database. Energies are from PBE.

## Properties
Calculated volume   379.82 Å³/cell

abc: 10.462 6.508 6.508
angles: 59.01 90.00 90.00
Fractional coordinates of all 16 atoms:
Ca 0.000 0.000 0.000
Mg 0.000 0.006 0.494
Mg 0.000 0.494 0.006
Mg 0.240 0.659 0.659
Mg 0.256 0.161 0.657
Mg 0.256 0.657 0.161
Mg 0.259 0.163 0.163
Mg 0.500 0.499 0.499
Mg 0.500 0.500 0.992
Mg 0.500 0.992 0.500
Mg 0.500 0.997 0.997
Mg 0.741 0.163 0.163
Mg 0.744 0.161 0.657
Mg 0.744 0.657 0.161
Mg 0.760 0.659 0.659
Cd 0.000 0.491 0.491



<Q>
Here is a relaxed structure of CaMg14Cd from the Alexandria database. Energies are from PBE.

## Properties
Calculated volume   380.57 Å³/cell

abc: 6.459 6.459 10.535
angles: 90.00 90.00 120.00
Fractional coordinates of all 16 atoms:
Ca 0.000 0.000 0.000
Mg 0.009 0.505 0.000
Mg 0.167 0.335 0.259
Mg 0.167 0.335 0.741
Mg 0.167 0.833 0.259
Mg 0.167 0.833 0.741
Mg 0.495 0.505 0.000
Mg 0.495 0.991 0.000
Mg 0.503 0.007 0.500
Mg 0.503 0.497 0.500
Mg 0.665 0.833 0.259
Mg 0.665 0.833 0.741
Mg 0.667 0.333 0.240
Mg 0.667 0.333 0.760
Mg 0.993 0.497 0.500
Cd 0.000 0.000 0.500



<P> comes first in stability; the runner-up is 7 meV/atom higher.



<P>
Here is a relaxed structure of Ca4MgCd2 from the Alexandria database. Energies are from PBE.

## Properties
Calculated volume   225.19 Å³/cell

abc: 9.203 9.203 9.203
angles: 34.68 34.68 34.68
Fractional coordinates of all 7 atoms:
Ca 0.117 0.117 0.117
Ca 0.371 0.371 0.371
Ca 0.629 0.629 0.629
Ca 0.883 0.883 0.883
Mg 0.500 0.500 0.500
Cd 0.244 0.244 0.244
Cd 0.756 0.756 0.756



<Q>
Here is a relaxed structure of Ca4MgCd2 from the Alexandria database. Energies are from PBE.

## Properties
Calculated volume   245.96 Å³/cell

abc: 10.118 10.118 10.118
angles: 31.15 31.15 31.15
Fractional coordinates of all 7 atoms:
Ca 0.120 0.120 0.120
Ca 0.292 0.292 0.292
Ca 0.708 0.708 0.708
Ca 0.880 0.880 0.880
Mg 0.500 0.500 0.500
Cd 0.405 0.405 0.405
Cd 0.595 0.595 0.595



<P> comes first in stability; the runner-up is 105 meV/atom higher.



<P>
Here is a relaxed structure of CaMg6CdO8 from the Alexandria database. Energies are from PBE.

## Properties
Calculated volume   175.87 Å³/cell

abc: 4.451 4.451 8.877
angles: 90.00 90.00 90.00
Fractional coordinates of all 16 atoms:
Ca 0.000 0.000 0.000
Mg 0.000 0.500 0.252
Mg 0.000 0.500 0.748
Mg 0.500 0.000 0.252
Mg 0.500 0.000 0.748
Mg 0.500 0.500 0.000
Mg 0.500 0.500 0.500
Cd 0.000 0.000 0.500
O 0.000 0.000 0.249
O 0.000 0.000 0.751
O 0.000 0.500 0.000
O 0.000 0.500 0.500
O 0.500 0.000 0.000
O 0.500 0.000 0.500
O 0.500 0.500 0.251
O 0.500 0.500 0.749



<Q>
Here is a relaxed structure of CaMg6CdO8 from the Alexandria database. Energies are from PBE.

## Properties
Calculated volume   175.02 Å³/cell

abc: 4.452 4.452 8.831
angles: 90.00 90.00 90.00
Fractional coordinates of all 16 atoms:
Ca 0.000 0.000 0.000
Mg 0.000 0.000 0.500
Mg 0.000 0.500 0.263
Mg 0.000 0.500 0.737
Mg 0.500 0.000 0.263
Mg 0.500 0.000 0.737
Mg 0.500 0.500 0.500
Cd 0.500 0.500 0.000
O 0.000 0.000 0.265
O 0.000 0.000 0.735
O 0.000 0.500 0.000
O 0.000 0.500 0.500
O 0.500 0.000 0.000
O 0.500 0.000 0.500
O 0.500 0.500 0.268
O 0.500 0.500 0.732



<Q> comes first in stability; the runner-up is 36 meV/atom higher.



<P>
Here is a relaxed structure of CaMgScCd from the Alexandria database. Energies are from PBE.

## Properties
Calculated volume   102.13 Å³/cell

abc: 5.247 5.247 5.247
angles: 60.00 60.00 60.00
Fractional coordinates of all 4 atoms:
Ca 0.000 0.000 0.000
Mg 0.750 0.750 0.750
Sc 0.500 0.500 0.500
Cd 0.250 0.250 0.250



<Q>
Here is a relaxed structure of CaMgScCd from the Alexandria database. Energies are from PBE.

## Properties
Calculated volume   103.27 Å³/cell

abc: 3.721 3.721 7.458
angles: 90.00 90.00 90.00
Fractional coordinates of all 4 atoms:
Ca 0.000 0.000 0.000
Mg 0.500 0.500 0.712
Sc 0.000 0.000 0.484
Cd 0.500 0.500 0.273



<Q> comes first in stability; the runner-up is 37 meV/atom higher.



<P>
Here is a relaxed structure of CaTmMgCd from the Alexandria database. Energies are from PBE.

## Properties
Calculated volume   109.00 Å³/cell

abc: 5.362 5.362 5.362
angles: 60.00 60.00 60.00
Fractional coordinates of all 4 atoms:
Ca 0.000 0.000 0.000
Tm 0.500 0.500 0.500
Mg 0.750 0.750 0.750
Cd 0.250 0.250 0.250



<Q>
Here is a relaxed structure of CaTmMgCd from the Alexandria database. Energies are from PBE.

## Properties
Calculated volume   110.44 Å³/cell

abc: 3.816 3.816 7.586
angles: 90.00 90.00 90.00
Fractional coordinates of all 4 atoms:
Ca 0.000 0.000 0.000
Tm 0.000 0.000 0.483
Mg 0.500 0.500 0.727
Cd 0.500 0.500 0.260



<Q> comes first in stability; the runner-up is 18 meV/atom higher.



<P>
Here is a relaxed structure of Ca2CdN from the Alexandria database. Energies are from PBE.

## Properties
Calculated volume   210.67 Å³/cell

abc: 6.511 6.511 6.511
angles: 112.62 112.62 103.34
Fractional coordinates of all 8 atoms:
Ca 0.007 0.625 0.882
Ca 0.375 0.257 0.382
Ca 0.743 0.125 0.118
Ca 0.875 0.993 0.618
Cd 0.250 0.750 0.500
Cd 0.500 0.500 0.000
N 0.000 0.000 0.000
N 0.750 0.250 0.500



<Q>
Here is a relaxed structure of Ca2CdN from the Alexandria database. Energies are from PBE.

## Properties
Calculated volume   93.51 Å³/cell

abc: 8.758 8.758 8.758
angles: 23.46 23.46 23.46
Fractional coordinates of all 4 atoms:
Ca 0.216 0.216 0.216
Ca 0.784 0.784 0.784
Cd 0.000 0.000 0.000
N 0.500 0.500 0.500



<Q> comes first in stability; the runner-up is 248 meV/atom higher.